No. 1
Entry from Alexandria: Li2SbTe after structural relaxation (PBE-GGA).

Unit cell a=4.697 b=4.697 c=4.089 alpha=90.00 beta=90.00 gamma=90.00
Fractional coordinates of all 4 atoms:
Li 0.000 0.500 0.000
Li 0.500 0.000 0.000
Sb 0.000 0.000 0.500
Te 0.500 0.500 0.500

Summary:
- E_form (uncorrected) (eV per atom) = -0.48

No. 2
Entry from Alexandria: NbIF3 after structural relaxation (PBE-GGA).

Unit cell a=4.780 b=4.780 c=4.780 alpha=90.00 beta=90.00 gamma=90.00
Fractional coordinates of all 5 atoms:
Nb 0.000 0.000 0.000
I 0.500 0.500 0.500
F 0.000 0.500 0.500
F 0.500 0.000 0.500
F 0.500 0.500 0.000

Summary:
- E_form (uncorrected) (eV per atom) = 0.07

No. 3
Entry from Alexandria: Ta3NbIn after structural relaxation (PBE-GGA).

Unit cell a=4.900 b=4.900 c=4.900 alpha=90.00 beta=90.00 gamma=90.00
Fractional coordinates of all 5 atoms:
Ta 0.000 0.000 0.500
Ta 0.000 0.500 0.000
Ta 0.500 0.000 0.000
Nb 0.000 0.000 0.000
In 0.500 0.500 0.500

No. 4
Entry from Alexandria: DyHfTlHg after structural relaxation (PBE-GGA).

Unit cell a=5.139 b=5.139 c=5.139 alpha=60.00 beta=60.00 gamma=60.00
Fractional coordinates of all 4 atoms:
Dy 0.000 0.000 0.000
Hf 0.500 0.500 0.500
Tl 0.250 0.250 0.250
Hg 0.750 0.750 0.750

| no. | DFT total energy (eV/atom) |
| --- | --- |
| 1 | -3.257 |
| 2 | -3.378 |
| 3 | -8.197 |
| 4 | -4.407 |